Material: YGaAg2
Method: DFT, PBE
State: relaxed

For the electronic total energy, the calculation gives -16.5 eV/f.u. For the total magnetization, the calculation gives 0.00 μB per formula unit.

Unit cell a=6.8589 b=6.8589 c=6.8589 alpha=90.00 beta=90.00 gamma=90.00
With the nearest neighbours (Å) after each atom.
Space group F-43m (No. 216)
One atom of each set of equivalent atoms:
1 Y 0.0000 0.0000 0.0000 (multiplicity 4)  4 Ag 2.97, 4 Ga 2.97
2 Ga 0.2500 0.2500 0.7500 (multiplicity 4)  4 Y 2.97, 4 Ag 2.97
3 Ag 0.0000 0.0000 0.5000 (multiplicity 4)  4 Ga 2.97, 4 Ag 2.97
4 Ag 0.2500 0.2500 0.2500 (multiplicity 4)  4 Y 2.97, 4 Ag 2.97

Material: YGa2Ag
Method: DFT, PBE
State: relaxed

For the electronic total energy, the calculation gives -16.6 eV/f.u. For the total magnetization, the calculation gives 0.00 μB per formula unit.

Unit cell a=6.8607 b=6.8607 c=6.8607 alpha=90.00 beta=90.00 gamma=90.00
With the nearest neighbours (Å) after each atom.
Space group F-43m (No. 216)
One atom of each set of equivalent atoms:
1 Y 0.0000 0.0000 0.0000 (multiplicity 4)  4 Ga 2.97, 4 Ag 2.97
2 Ga 0.0000 0.0000 0.5000 (multiplicity 4)  4 Ga 2.97, 4 Ag 2.97
3 Ga 0.2500 0.2500 0.2500 (multiplicity 4)  4 Y 2.97, 4 Ga 2.97
4 Ag 0.2500 0.2500 0.7500 (multiplicity 4)  4 Y 2.97, 4 Ga 2.97

Material: ZnGa2Ag2
Method: DFT, PBE
State: relaxed

For the electronic total energy, the calculation gives -12.3 eV/f.u.

Unit cell a=3.7586 b=3.7586 c=13.0208 alpha=90.00 beta=90.00 gamma=90.00
With the nearest neighbours (Å) after each atom.
Space group I4/mmm (No. 139)
One atom of each set of equivalent atoms:
1 Zn 0.0000 0.0000 0.0000 (multiplicity 2)  8 Ag 2.97
2 Ga 0.0000 0.5000 0.2500 (multiplicity 4)  4 Ga 2.66, 4 Ag 2.70
3 Ag 0.0000 0.0000 0.3988 (multiplicity 4)  1 Ag 2.64, 4 Ga 2.70